[1]
First-principles (GGA+U) data for an optimized crystal structure of MnSeBr2O, as listed in Alexandria.

```
5
Lattice="5.154 0.000 0.000 0.000 5.154 0.000 0.000 0.000 5.313" Properties=species:S:1:pos:R:3 pbc="T T T"
Br 0.000 2.577 0.000
O 2.577 2.577 2.657
Mn 0.000 0.000 0.000
Br 2.577 0.000 0.000
Se 0.000 0.000 2.657
```

Results
- E above lowest polymorph: 128 meV/atom

---

[2]
First-principles (GGA+U) data for an optimized crystal structure of MnSeBr2O, as listed in Alexandria.

```
5
Lattice="4.809 0.000 0.000 0.000 4.809 0.000 0.000 0.000 4.466" Properties=species:S:1:pos:R:3 pbc="T T T"
Mn 2.405 2.405 2.233
O 0.000 0.000 0.000
Se 0.000 0.000 2.233
Br 0.000 2.405 0.000
Br 2.405 0.000 0.000
```

Results
- E above lowest polymorph: 0 meV/atom

---

[3]
First-principles (GGA+U) data for an optimized crystal structure of Mn4SiTeBr2O7, as listed in Alexandria.

```
30
Lattice="-3.610 1.966 -3.791 2.351 -4.269 -4.453 -8.400 -9.157 4.346" Properties=species:S:1:pos:R:3 pbc="T T T"
Br -2.466 -1.857 -1.966
O -7.396 -6.779 0.148
Mn -5.418 -7.253 -0.824
Te -7.550 -8.220 1.449
Br 1.079 -3.073 -3.824
O -2.928 -4.395 -6.651
Br -10.739 -8.387 -0.074
O -2.263 -4.681 -4.046
Mn -8.050 -5.467 -1.455
O -5.842 -2.894 -2.755
O -6.732 -7.065 2.753
Mn -4.372 -0.797 -3.990
Si -3.659 -4.775 0.201
Te -2.110 -3.240 -5.347
O -4.719 -5.941 0.759
O -4.394 -3.322 0.484
Mn -5.288 -10.663 0.092
Br -7.194 -9.603 -1.931
O -5.266 -8.138 -4.382
Mn -1.610 -5.993 -2.443
O -3.817 -8.566 -1.143
Mn -4.242 -4.207 -3.073
O -3.879 -2.668 -4.850
Mn -4.255 -9.366 -3.028
O -6.257 -6.337 -2.504
O -4.941 -5.519 -4.657
Mn -5.405 -2.094 -0.870
O -5.781 -8.792 0.952
Si -6.001 -6.685 -4.099
O -3.402 -5.123 -1.394
```

Results
- Uncorrected energy: -0.4984 Ry/atom